A relaxed structure of LiFePO4. Source: the Alexandria database, functional GGA+U.

abc: 5.2509 7.9712 8.4769
angles: 97.03 93.17 76.05
With the nearest neighbours (Å) after each atom.
Fractional positions:
Li 0.2439 0.1906 0.8961  4 O 1.97-2.00
Li 0.3073 0.6796 0.5681  4 O 2.00-2.12
Li 0.6927 0.3204 0.4319  4 O 2.00-2.12
Li 0.7561 0.8094 0.1039  4 O 1.97-2.00
Fe 0.1985 0.9631 0.2851  4 O 1.99-2.08
Fe 0.1674 0.4404 0.2338  4 O 2.02-2.08
Fe 0.8326 0.5596 0.7662  4 O 2.02-2.08
Fe 0.8015 0.0369 0.7149  4 O 1.99-2.08
P 0.2509 0.2835 0.5581  4 O 1.55-1.56
P 0.2452 0.7934 0.9122  4 O 1.55-1.57
P 0.7548 0.2066 0.0878  4 O 1.55-1.57
P 0.7491 0.7165 0.4419  4 O 1.55-1.56
O 0.0860 0.1756 0.4490  1 P 1.56
O 0.9932 0.2889 0.0714  1 P 1.57
O 0.1171 0.3372 0.7222  1 P 1.56
O 0.2660 0.4445 0.4753  1 P 1.56
O 0.1507 0.9656 0.8339  1 P 1.56
O 0.4477 0.6655 0.8014  1 P 1.55
O 0.3746 0.8313 0.0775  1 P 1.55
O 0.5393 0.1819 0.5781  1 P 1.55
O 0.4607 0.8181 0.4220  1 P 1.55
O 0.6254 0.1687 0.9225  1 P 1.55
O 0.5523 0.3345 0.1986  1 P 1.55
O 0.8493 0.0344 0.1661  1 P 1.56
O 0.7340 0.5555 0.5247  1 P 1.56
O 0.8829 0.6628 0.2778  1 P 1.56
O 0.0068 0.7111 0.9286  1 P 1.57
O 0.9140 0.8244 0.5510  1 P 1.56

**ΔE to the lowest computed polymorph**: 0.248 eV per formula unit
**Size of the total moment**: 16.00 μB/cell
**Electronic total energy**: -6.797 eV/atom